1.
This record from Alexandria describes a relaxed structure of ZrInSi2. The functional is GGA-PBEsol.

Cell: 2.8895 4.7432 5.2674 Å, 90.00 89.98 90.00°
Fractional coordinates of all 4 atoms:
Si  0.0006  0.0000  0.0134
Si  0.9999  0.5000  0.2617
In  0.9997  0.5000  0.7543
Zr  0.4998  0.0000  0.4706

Computed properties:
- Energy relative to the elements, uncorrected: -0.129 eV per atom
- Space group: No. 25

2.
This record from Alexandria describes a relaxed structure of Li2AsAu. The functional is GGA-PBEsol.

Cell: 2.8442 4.6341 5.1258 Å, 107.62 106.11 90.00°
Fractional coordinates of all 4 atoms:
As  0.4927  0.5780  0.9854
Li  0.0144  0.0810  0.0288
Li  0.2349  0.6676  0.4697
Au  0.7580  0.1735  0.5161

Computed properties:
- Energy of formation from the pure elements: -0.4375 eV/atom
- Space group: No. 8

3.
This record from Alexandria describes a relaxed structure of Li2FePHO5. The functional is GGA-PBEsol.

Cell: 5.3170 5.4784 7.4045 Å, 108.94 110.33 93.59°
Site moments in Bohr magnetons follow the coordinates.
Fractional coordinates of all 20 atoms:
O  0.1705  0.9514  0.2742  -0.01
O  0.6419  0.6640  0.3417  0.03
O  0.6142  0.7758  0.9344  -0.03
O  0.1150  0.6409  0.8541  -0.04
O  0.3858  0.2242  0.0656  -0.03
O  0.8295  0.0486  0.7258  -0.01
O  0.3581  0.3360  0.6583  0.03
O  0.2688  0.7638  0.5984  0.04
O  0.8850  0.3591  0.1459  -0.04
O  0.7312  0.2362  0.4016  0.04
P  0.6669  0.3744  0.2407  0.00
P  0.3331  0.6256  0.7593  0.00
Li  0.4906  0.8670  0.1653  0.00
Li  0.5094  0.1330  0.8347  0.00
Li  0.7755  0.3872  0.7003  0.00
Li  0.2245  0.6128  0.2997  0.00
H  0.6879  0.8903  0.6275  0.00
H  0.3121  0.1097  0.3725  0.00
Fe  0.0000  0.0000  0.0000  -3.59
Fe  0.0000  0.0000  0.5000  3.45

Computed properties:
- Space group: No. 2

4.
This record from Alexandria describes a relaxed structure of Sc3NbO. The functional is GGA-PBEsol.

Cell: 4.3809 4.3809 4.3809 Å, 90.00 90.00 90.00°
Fractional coordinates of all 5 atoms:
Sc  0.0000  0.0000  0.5000
Sc  0.0000  0.5000  0.0000
Sc  0.5000  0.0000  0.0000
Nb  0.5000  0.5000  0.5000
O  0.0000  0.0000  0.0000

Computed properties:
- Energy relative to the elements, uncorrected: -1.131 eV per atom
- Space group: No. 221

The records above yield V values of 18.05; 15.40; 9.38; 16.82 A^3/atom, respectively.
The records above yield E values of -6.0203; -3.6785; -6.6361; -8.3084 eV per atom, respectively.